First-principles (PBE) data for LaS after structural relaxation, as listed in Alexandria.

Computed properties:
Distance to the lowest polymorph of the same formula: 510.1 meV per atom
Crystal system: tetragonal
Size of the total moment: 0.0 μB per cell
E_form (uncorrected): -1.659 eV/atom
N(E_F): 0.886 states/eV/atom

a b c (Å): 11.7011 11.7011 4.4548
angles (deg): 90.00 90.00 90.00
Closest atoms and distances in Å follow each position.
Fractional coordinates of all 16 atoms:
1 La 0.3867 0.1808 0.0000  4 S 2.82-2.86
2 La 0.6133 0.8192 0.0000  4 S 2.82-2.86
3 La 0.8192 0.3867 0.0000  4 S 2.82-2.86
4 La 0.1808 0.6133 0.0000  4 S 2.82-2.86
5 La 0.8867 0.6808 0.5000  4 S 2.82-2.86
6 La 0.1133 0.3192 0.5000  4 S 2.82-2.86
7 La 0.3192 0.8867 0.5000  4 S 2.82-2.86
8 La 0.6808 0.1133 0.5000  4 S 2.82-2.86
9 S 0.3828 0.7477 0.0000  4 La 2.82-2.86
10 S 0.6172 0.2523 0.0000  4 La 2.82-2.86
11 S 0.2523 0.3828 0.0000  4 La 2.82-2.86
12 S 0.7477 0.6172 0.0000  4 La 2.82-2.86
13 S 0.8828 0.2477 0.5000  4 La 2.82-2.86
14 S 0.1172 0.7523 0.5000  4 La 2.82-2.86
15 S 0.7523 0.8828 0.5000  4 La 2.82-2.86
16 S 0.2477 0.1172 0.5000  4 La 2.82-2.86